PBEsol SrCe2S2F4, relaxed; energy relative to the elements, uncorrected = -3.255 eV per atom; symmetry = I4/mmm; DOS at the Fermi energy = 13.00 states/eV/cell
1.0
-1.965 1.965 9.779
1.965 -1.965 9.779
1.965 1.965 -9.779
Sr Ce S F
1 2 2 4
Cartesian
0.000 0.000 0.000 Sr
0.000 0.000 6.686 Ce
0.000 0.000 12.872 Ce
0.000 0.000 3.872 S
0.000 0.000 15.685 S
1.965 0.000 1.465 F
1.965 0.000 8.314 F
0.000 1.965 1.465 F
0.000 1.965 8.314 F

---

PBEsol CeZrF7, relaxed; energy relative to the elements, uncorrected = -3.842 eV per atom; symmetry = P2_1; DOS at the Fermi energy = 17.68 states/eV/cell
1.0
6.261 0.000 0.000
0.000 5.852 0.000
-1.816 0.000 8.242
Ce Zr F
2 2 14
Cartesian
0.648 0.000 1.543 Ce
3.797 2.926 6.699 Ce
0.630 0.052 5.961 Zr
3.815 2.978 2.281 Zr
0.300 4.012 0.209 F
-0.880 4.581 5.865 F
-0.629 1.626 5.847 F
0.769 0.006 3.963 F
0.471 0.092 7.966 F
2.327 4.336 2.219 F
2.381 1.562 2.123 F
2.064 4.487 6.119 F
2.118 1.410 6.024 F
3.973 3.018 0.276 F
3.676 2.932 4.280 F
5.074 4.551 2.396 F
5.325 1.655 2.377 F
4.145 1.086 8.033 F

---

PBEsol CeZr2F11, relaxed; energy relative to the elements, uncorrected = -3.824 eV per atom; symmetry = Ibam; DOS at the Fermi energy = 16.80 states/eV/cell
1.0
-3.885 5.030 5.478
3.885 -5.030 5.478
3.885 5.030 -5.478
Ce Zr F
2 4 22
Cartesian
0.000 0.000 2.739 Ce
0.000 0.000 8.217 Ce
4.919 1.819 0.000 Zr
1.033 3.211 0.000 Zr
2.852 1.819 5.478 Zr
-1.033 3.211 5.478 Zr
3.885 0.000 0.000 F
4.682 -3.170 3.980 F
1.830 -0.773 1.420 F
4.682 3.170 -1.498 F
5.941 0.773 1.420 F
2.875 2.205 0.000 F
2.875 -2.205 5.478 F
2.055 4.257 -1.420 F
0.797 1.860 1.498 F
1.830 0.773 4.059 F
4.682 3.170 1.498 F
0.000 5.030 0.000 F
-0.797 1.860 3.980 F
2.055 4.257 1.420 F
3.088 3.170 3.980 F
1.830 0.773 6.898 F
1.011 7.236 0.000 F
1.011 2.825 5.478 F
-2.055 4.257 4.059 F
-0.797 1.860 6.977 F
2.055 5.803 4.059 F
-0.797 8.200 1.498 F

---

PBEsol CeFe5, relaxed; ΔH_f (0 K) = 0.033 eV per atom; symmetry = P6/mmm; DOS at the Fermi energy = 6.62 states/eV/cell
1.0
4.874 0.000 0.000
-2.437 4.221 0.000
0.000 0.000 3.932
Ce Fe
1 5
Cartesian
0.000 0.000 0.000 Ce
-1.219 2.111 1.966 Fe
0.000 2.814 0.000 Fe
2.437 0.000 1.966 Fe
1.219 2.111 1.966 Fe
2.437 1.407 0.000 Fe

---

PBEsol CeFe2Ge2, relaxed; ΔH_f (0 K) = -0.490 eV per atom; symmetry = I4/mmm; DOS at the Fermi energy = 5.98 states/eV/cell
1.0
-2.015 2.015 4.833
2.015 -2.015 4.833
2.015 2.015 -4.833
Ce Fe Ge
1 2 2
Cartesian
0.000 0.000 0.000 Ce
2.015 0.000 2.417 Fe
0.000 2.015 2.417 Fe
0.000 0.000 3.538 Ge
0.000 0.000 6.128 Ge

---

PBEsol CeFeNi8Ge4, relaxed; ΔH_f (0 K) = -0.403 eV per atom; symmetry = Fmm2; DOS at the Fermi energy = 30.72 states/eV/cell
1.0
0.000 5.553 5.807
5.527 0.000 5.807
5.527 5.553 0.000
Ce Fe Ni Ge
2 2 16 8
Cartesian
2.763 2.777 0.000 Ce
2.763 2.777 5.807 Ce
6.864 5.553 5.030 Fe
4.189 5.553 5.030 Fe
4.262 2.031 2.944 Ni
5.527 1.365 5.055 Ni
2.009 1.267 2.957 Ni
9.660 5.553 6.648 Ni
5.527 5.553 2.937 Ni
3.518 4.286 2.957 Ni
5.527 4.177 6.661 Ni
1.264 3.522 2.944 Ni
9.044 6.821 8.764 Ni
9.789 9.075 8.751 Ni
5.527 6.929 6.661 Ni
5.527 5.553 8.760 Ni
5.527 9.742 5.055 Ni
6.791 7.585 8.751 Ni
1.394 5.553 6.648 Ni
7.536 9.839 8.764 Ni
9.126 5.553 4.362 Ge
5.527 3.601 4.380 Ge
5.527 1.929 7.324 Ge
7.444 5.553 7.336 Ge
5.527 7.505 4.380 Ge
1.928 5.553 4.362 Ge
3.610 5.553 7.336 Ge
5.527 9.177 7.324 Ge

---

PBEsol Ce2Fe12P7, relaxed; ΔH_f (0 K) = -0.819 eV per atom; symmetry = P-6; DOS at the Fermi energy = 14.82 states/eV/cell
1.0
8.863 0.000 0.000
-4.431 7.675 0.000
0.000 0.000 3.603
Ce Fe P
2 12 7
Cartesian
0.000 0.000 0.000 Ce
0.000 5.117 1.802 Ce
-3.078 5.850 1.802 Fe
-0.816 2.972 0.000 Fe
0.904 2.085 1.802 Fe
-1.449 6.896 0.000 Fe
2.975 1.799 0.000 Fe
4.306 0.469 1.802 Fe
2.685 3.711 1.802 Fe
2.266 5.483 0.000 Fe
2.174 7.416 1.802 Fe
5.817 1.677 0.000 Fe
4.502 4.200 0.000 Fe
6.303 3.495 1.802 Fe
-2.218 4.798 0.000 P
2.171 0.253 1.802 P
1.386 3.355 0.000 P
0.833 7.198 0.000 P
4.431 2.558 1.802 P
3.566 5.669 1.802 P
7.558 1.753 1.802 P

---

PBEsol CeFe2P2, relaxed; ΔH_f (0 K) = -1.073 eV per atom; symmetry = I4/mmm; DOS at the Fermi energy = 3.93 states/eV/cell
1.0
-1.901 1.901 4.809
1.901 -1.901 4.809
1.901 1.901 -4.809
Ce Fe P
1 2 2
Cartesian
0.000 0.000 0.000 Ce
1.901 0.000 2.404 Fe
0.000 1.901 2.404 Fe
0.000 0.000 3.502 P
0.000 0.000 6.115 P

---

PBEsol CeFe4P12, relaxed; ΔH_f (0 K) = -0.762 eV per atom; symmetry = Im-3
1.0
-3.849 3.849 3.849
3.849 -3.849 3.849
3.849 3.849 -3.849
Ce Fe P
1 4 12
Cartesian
0.000 0.000 0.000 Ce
1.924 1.924 -1.924 Fe
1.924 -1.924 1.924 Fe
-1.924 1.924 1.924 Fe
1.924 1.924 1.924 Fe
2.696 0.000 1.176 P
5.001 0.000 1.176 P
3.849 2.673 -1.152 P
1.176 2.696 0.000 P
2.673 -1.152 3.849 P
3.849 2.673 1.152 P
0.000 1.176 2.696 P
1.176 5.001 0.000 P
2.673 1.152 3.849 P
0.000 1.176 5.001 P
-1.152 3.849 2.673 P
1.152 3.849 2.673 P

---

PBEsol CePrFe4, relaxed; ΔH_f (0 K) = 0.060 eV per atom; symmetry = F-43m; DOS at the Fermi energy = 7.75 states/eV/cell
1.0
0.000 3.590 3.590
3.590 0.000 3.590
3.590 3.590 0.000
Ce Pr Fe
1 1 4
Cartesian
0.000 0.000 0.000 Ce
1.795 1.795 1.795 Pr
4.492 2.687 2.687 Fe
2.687 4.492 2.687 Fe
2.687 2.687 4.492 Fe
4.492 4.492 4.492 Fe

---

PBEsol Ce2FeRu3, relaxed; ΔH_f (0 K) = -0.217 eV per atom; symmetry = R-3m; DOS at the Fermi energy = 7.65 states/eV/cell
1.0
2.722 1.571 3.889
-2.722 1.571 3.889
0.000 -3.143 3.889
Ce Fe Ru
2 1 3
Cartesian
0.000 0.000 1.486 Ce
0.000 0.000 10.181 Ce
0.000 0.000 5.834 Fe
-1.361 -0.786 3.889 Ru
-1.361 0.786 7.778 Ru
0.000 1.571 3.889 Ru

---

PBEsol CeFe4Sb12, relaxed; energy relative to the elements, uncorrected = -0.270 eV per atom; symmetry = Im-3; DOS at the Fermi energy = 1.83 states/eV/cell
1.0
-4.507 4.507 4.507
4.507 -4.507 4.507
4.507 4.507 -4.507
Ce Fe Sb
1 4 12
Cartesian
0.000 0.000 0.000 Ce
2.254 2.254 -2.254 Fe
2.254 -2.254 2.254 Fe
-2.254 2.254 2.254 Fe
2.254 2.254 2.254 Fe
3.007 1.473 0.000 Sb
6.007 1.473 0.000 Sb
4.507 -1.500 3.034 Sb
3.034 4.507 -1.500 Sb
1.473 0.000 3.007 Sb
0.000 3.007 1.473 Sb
4.507 1.500 3.034 Sb
3.034 4.507 1.500 Sb
1.473 0.000 6.007 Sb
0.000 6.007 1.473 Sb
-1.500 3.034 4.507 Sb
1.500 3.034 4.507 Sb

---

PBEsol CeGa3, relaxed; ΔH_f (0 K) = -0.571 eV per atom; symmetry = P6_3/mmc; DOS at the Fermi energy = 7.33 states/eV/cell
1.0
6.308 0.000 0.000
-3.154 5.463 0.000
0.000 0.000 4.465
Ce Ga
2 6
Cartesian
0.000 3.642 1.116 Ce
3.154 1.821 3.349 Ce
0.000 1.599 3.349 Ga
-1.770 4.664 3.349 Ga
1.384 0.799 1.116 Ga
1.770 4.664 3.349 Ga
4.924 0.799 1.116 Ga
3.154 3.864 1.116 Ga

---

PBEsol Ce3Ga2, relaxed; ΔH_f (0 K) = -0.322 eV per atom; symmetry = P4_2/mnm; DOS at the Fermi energy = 47.15 states/eV/cell
1.0
8.245 0.000 0.000
0.000 8.245 0.000
0.000 0.000 6.848
Ce Ga
12 8
Cartesian
0.000 4.122 1.712 Ce
0.000 4.122 5.136 Ce
1.348 1.348 0.000 Ce
1.641 1.641 3.424 Ce
2.481 5.763 0.000 Ce
2.775 5.470 3.424 Ce
4.122 0.000 1.712 Ce
4.122 0.000 5.136 Ce
5.470 2.775 3.424 Ce
5.763 2.481 0.000 Ce
6.604 6.604 3.424 Ce
6.897 6.897 0.000 Ce
0.949 7.295 2.029 Ga
0.949 7.295 4.819 Ga
3.173 3.173 1.395 Ga
3.173 3.173 5.452 Ga
5.072 5.072 1.395 Ga
5.072 5.072 5.452 Ga
7.295 0.949 2.029 Ga
7.295 0.949 4.819 Ga

---

PBEsol CeGa2, relaxed; ΔH_f (0 K) = -0.583 eV per atom; symmetry = P6/mmm; DOS at the Fermi energy = 4.89 states/eV/cell
1.0
4.215 0.000 0.000
-2.107 3.650 0.000
0.000 0.000 4.107
Ce Ga
1 2
Cartesian
0.000 0.000 0.000 Ce
0.000 2.433 2.053 Ga
2.107 1.217 2.053 Ga

---

PBEsol CeGa, relaxed; ΔH_f (0 K) = -0.468 eV per atom; symmetry = Cmcm; DOS at the Fermi energy = 17.39 states/eV/cell
1.0
4.518 -3.650 0.000
4.518 3.650 0.000
0.000 0.000 5.201
Ce Ga
4 4
Cartesian
1.747 1.320 1.300 Ce
1.747 -1.320 3.901 Ce
7.290 1.320 1.300 Ce
7.290 -1.320 3.901 Ce
4.518 2.439 1.300 Ga
4.518 0.000 0.000 Ga
4.518 0.000 2.601 Ga
4.518 -2.439 3.901 Ga

---

PBEsol Ce5Ga3, relaxed; ΔH_f (0 K) = -0.315 eV per atom; symmetry = I4/mcm; DOS at the Fermi energy = 43.49 states/eV/cell
1.0
-5.835 5.835 2.775
5.835 -5.835 2.775
5.835 5.835 -2.775
Ce Ga
10 6
Cartesian
8.981 1.086 0.000 Ce
1.086 2.688 0.000 Ce
5.835 0.000 1.388 Ce
6.920 3.147 0.000 Ce
3.147 4.749 0.000 Ce
2.688 1.086 2.775 Ce
-1.086 2.688 2.775 Ce
0.000 5.835 1.388 Ce
4.749 3.147 2.775 Ce
-3.147 4.749 2.775 Ce
3.973 1.861 0.000 Ga
0.000 0.000 1.388 Ga
3.973 -1.861 2.775 Ga
1.861 7.696 0.000 Ga
0.000 0.000 4.163 Ga
1.861 3.973 2.775 Ga

---

PBEsol Ce2Ga9Ir3, relaxed; ΔH_f (0 K) = -0.695 eV per atom; symmetry = Cmcm; DOS at the Fermi energy = 11.76 states/eV/cell
1.0
6.539 -3.791 0.000
6.539 3.791 0.000
0.000 0.000 9.325
Ce Ga Ir
4 18 6
Cartesian
4.384 2.532 6.994 Ce
8.695 2.532 6.994 Ce
4.384 -2.532 2.331 Ce
8.695 -2.532 2.331 Ce
4.363 2.516 0.743 Ga
4.363 2.516 3.919 Ga
6.539 2.804 2.331 Ga
6.539 1.261 5.274 Ga
6.539 1.261 8.713 Ga
8.716 2.516 0.743 Ga
8.716 2.516 3.919 Ga
5.198 0.433 2.331 Ga
5.198 -0.433 6.994 Ga
7.881 0.433 2.331 Ga
7.881 -0.433 6.994 Ga
4.363 -2.516 5.406 Ga
4.363 -2.516 8.582 Ga
6.539 -1.261 0.612 Ga
6.539 -1.261 4.051 Ga
6.539 -2.804 6.994 Ga
8.716 -2.516 5.406 Ga
8.716 -2.516 8.582 Ga
0.000 0.000 0.000 Ir
0.000 0.000 4.663 Ir
4.295 0.000 0.000 Ir
4.295 0.000 4.663 Ir
8.784 0.000 0.000 Ir
8.784 0.000 4.663 Ir

---

PBEsol CeGaIr, relaxed; ΔH_f (0 K) = -0.808 eV per atom; symmetry = Pnma; DOS at the Fermi energy = 10.94 states/eV/cell
1.0
6.751 0.000 0.000
0.000 4.303 0.000
0.000 0.000 7.813
Ce Ga Ir
4 4 4
Cartesian
0.208 1.076 1.484 Ce
3.168 3.228 5.391 Ce
3.583 1.076 2.422 Ce
6.544 3.228 6.329 Ce
1.014 1.076 4.435 Ga
2.362 3.228 0.529 Ga
4.390 1.076 7.284 Ga
5.737 3.228 3.378 Ga
1.624 3.228 3.046 Ir
1.752 1.076 6.952 Ir
5.000 3.228 0.861 Ir
5.128 1.076 4.767 Ir

---

Number 1: magnetization 1.837 μB/f.u.. Number 2: magnetization 1.000 μB/f.u.. Number 3: magnetization 1.000 μB/f.u.. Number 4: magnetization 8.545 μB/f.u.. Number 5: magnetization 0.077 μB/f.u.. Number 6: magnetization 1.284 μB/f.u.. Number 7: magnetization 0.191 μB/f.u.. Number 8: magnetization 0.000 μB/f.u.. Number 9: magnetization 0.178 μB/f.u.. Number 10: magnetization 5.931 μB/f.u.. Number 11: magnetization 2.039 μB/f.u.. Number 12: magnetization 0.034 μB/f.u.. Number 13: magnetization 0.004 μB/f.u.. Number 14: magnetization 0.654 μB/f.u.. Number 15: magnetization 0.523 μB/f.u.. Number 16: magnetization 0.696 μB/f.u.. Number 17: magnetization 2.715 μB/f.u.. Number 18: magnetization 0.528 μB/f.u.. Number 19: magnetization 0.000 μB/f.u..